Compound: CdS
Source: Alexandria
Functional: meta-GGA SCAN
Structure: single point on PBEsol structure

abc: 5.8260 5.8260 5.8260
angles: 90.00 90.00 90.00
Space group F-43m (No. 216)
Symmetry-distinct sites (fractional):
Cd  0.0000  0.0000  0.0000 x4
S  0.2500  0.2500  0.2500 x4

Properties
E_form (uncorrected) ... -759 meV per atom
Size of the total moment ... 0.0 μB/f.u.